First-principles (PBE+U) data for a relaxed VB3F12 crystal, as listed in Alexandria.

abc: 10.1211 10.1211 4.9382
angles: 90.00 90.00 120.00
Atoms (fractional coordinates):
V  0.3333  0.6667  0.2500
V  0.6667  0.3333  0.7500
B  0.1211  0.7114  0.7500
B  0.2886  0.4097  0.7500
B  0.4097  0.1211  0.2500
B  0.5903  0.8789  0.7500
B  0.7114  0.5903  0.2500
B  0.8789  0.2886  0.2500
F  0.0016  0.5658  0.7500
F  0.0937  0.8276  0.7500
F  0.1724  0.2661  0.7500
F  0.2221  0.7293  0.5116
F  0.2221  0.7293  0.9884
F  0.2661  0.0937  0.2500
F  0.2707  0.4929  0.5116
F  0.2707  0.4929  0.9884
F  0.4342  0.4358  0.7500
F  0.4358  0.0016  0.2500
F  0.4929  0.2221  0.0116
F  0.4929  0.2221  0.4884
F  0.5071  0.7779  0.5116
F  0.5071  0.7779  0.9884
F  0.5642  0.9984  0.7500
F  0.5658  0.5642  0.2500
F  0.7293  0.5071  0.0116
F  0.7293  0.5071  0.4884
F  0.7339  0.9063  0.7500
F  0.7779  0.2707  0.0116
F  0.7779  0.2707  0.4884
F  0.8276  0.7339  0.2500
F  0.9063  0.1724  0.2500
F  0.9984  0.4342  0.2500

Summary:
final energy = -5.8198 eV/atom